(1)
The following is a PBE-GGA calculation of Mg2InIrC after structural relaxation, from Alexandria.

## Properties
* SG: No. 123
* total energy: -4.800 eV/atom

Structure (CIF):
```
data_Mg2InIrC
_symmetry_space_group_name_H-M 'P 1'
_symmetry_Int_Tables_number 1
_symmetry_space_group_name_Hall 'P 1'
_cell_length_a 4.5878
_cell_length_b 4.5878
_cell_length_c 3.9319
_cell_angle_alpha 90.00
_cell_angle_beta 90.00
_cell_angle_gamma 90.00
loop_
_atom_site_label
_atom_site_type_symbol
_atom_site_fract_x
_atom_site_fract_y
_atom_site_fract_z
_atom_site_occupancy
Ir1 Ir 0.0000 0.0000 0.5000 1
C1 C 0.0000 0.0000 0.0000 1
Mg1 Mg 0.0000 0.5000 0.0000 1
Mg2 Mg 0.5000 0.0000 0.0000 1
In1 In 0.5000 0.5000 0.5000 1
```

***

(2)
The following is a PBE-GGA calculation of NaYHgF6 after structural relaxation, from Alexandria.

## Properties
* formation energy from raw total energies: -2.857 eV/atom
* SG: No. 163
* total energy: -5.003 eV/atom

Structure (CIF):
```
data_NaYHgF6
_symmetry_space_group_name_H-M 'P 1'
_symmetry_Int_Tables_number 1
_symmetry_space_group_name_Hall 'P 1'
_cell_length_a 6.0484
_cell_length_b 6.0484
_cell_length_c 9.3847
_cell_angle_alpha 90.00
_cell_angle_beta 90.00
_cell_angle_gamma 120.00
loop_
_atom_site_label
_atom_site_type_symbol
_atom_site_fract_x
_atom_site_fract_y
_atom_site_fract_z
_atom_site_occupancy
F1 F 0.6466 0.9819 0.8701 1
F2 F 0.3534 0.0181 0.1299 1
F3 F 0.9819 0.6466 0.3701 1
F4 F 0.3353 0.9819 0.6299 1
F5 F 0.6466 0.6647 0.6299 1
F6 F 0.6647 0.0181 0.3701 1
F7 F 0.3534 0.3353 0.3701 1
F8 F 0.0181 0.6647 0.8701 1
F9 F 0.6647 0.6466 0.1299 1
F10 F 0.0181 0.3534 0.6299 1
F11 F 0.9819 0.3353 0.1299 1
F12 F 0.3353 0.3534 0.8701 1
Na1 Na 0.0000 0.0000 0.0000 1
Na2 Na 0.0000 0.0000 0.5000 1
Hg1 Hg 0.6667 0.3333 0.7500 1
Hg2 Hg 0.3333 0.6667 0.2500 1
Y1 Y 0.6667 0.3333 0.2500 1
Y2 Y 0.3333 0.6667 0.7500 1
```

***

(3)
The following is a PBE-GGA calculation of HoTh2Pa after structural relaxation, from Alexandria.

## Properties
* E above lowest polymorph: 0 meV/atom
* SG: No. 123
* total energy: -7.148 eV/atom

Structure (CIF):
```
data_HoTh2Pa
_symmetry_space_group_name_H-M 'P 1'
_symmetry_Int_Tables_number 1
_symmetry_space_group_name_Hall 'P 1'
_cell_length_a 3.4972
_cell_length_b 3.4972
_cell_length_c 9.8123
_cell_angle_alpha 90.00
_cell_angle_beta 90.00
_cell_angle_gamma 90.00
loop_
_atom_site_label
_atom_site_type_symbol
_atom_site_fract_x
_atom_site_fract_y
_atom_site_fract_z
_atom_site_occupancy
Ho1 Ho 0.5000 0.5000 0.5000 1
Th1 Th 0.0000 0.0000 0.2401 1
Th2 Th 0.0000 0.0000 0.7599 1
Pa1 Pa 0.5000 0.5000 0.0000 1
```

***

Please write out number 1 again, unchanged.
The following is a PBE-GGA calculation of Mg2InIrC after structural relaxation, from Alexandria.

## Properties
* SG: No. 123
* total energy: -4.800 eV/atom

Structure (CIF):
```
data_Mg2InIrC
_symmetry_space_group_name_H-M 'P 1'
_symmetry_Int_Tables_number 1
_symmetry_space_group_name_Hall 'P 1'
_cell_length_a 4.5878
_cell_length_b 4.5878
_cell_length_c 3.9319
_cell_angle_alpha 90.00
_cell_angle_beta 90.00
_cell_angle_gamma 90.00
loop_
_atom_site_label
_atom_site_type_symbol
_atom_site_fract_x
_atom_site_fract_y
_atom_site_fract_z
_atom_site_occupancy
Ir1 Ir 0.0000 0.0000 0.5000 1
C1 C 0.0000 0.0000 0.0000 1
Mg1 Mg 0.0000 0.5000 0.0000 1
Mg2 Mg 0.5000 0.0000 0.0000 1
In1 In 0.5000 0.5000 0.5000 1
```

***

> Which value of total energy does entry 1 give?

-4.800 eV/atom

***

> Among the records above, which one has the highest total energy?

Mg2InIrC